[1]
Computed, not measured: a geometry-optimized Zr3CrPd structure at the PBE level of DFT.

Summary:
* energy of formation: 0.46 eV per atom
* relative energy among the computed polymorphs: 0.0 meV/atom

a b c (Å): 4.776 4.776 4.776
angles (deg): 90.00 90.00 90.00
Space group Pm-3m (No. 221)
One atom of each set of equivalent atoms:
Zr1 0.000 0.000 0.500 x3
Cr1 0.000 0.000 0.000 x1
Pd1 0.500 0.500 0.500 x1

[2]
Computed, not measured: a geometry-optimized Rb4La3NdSe8 structure at the PBE level of DFT.

Summary:
* raw formation energy: -1.80 eV/atom

a b c (Å): 8.8981 8.8981 24.0073
angles (deg): 90.00 90.00 120.00
Space group R-3m (No. 166, hexagonal axes)
One atom of each set of equivalent atoms:
Rb1 0.0000 0.0000 0.0000 x3
Rb2 0.0000 0.5000 0.0000 x9
La1 0.0000 0.5000 0.5000 x9
Nd1 0.0000 0.0000 0.5000 x3
Se1 0.0000 0.0000 0.2340 x6
Se2 0.0035 0.5017 0.2337 x18

[3]
Computed, not measured: a geometry-optimized Sr5HgAu structure at the PBE level of DFT.

Summary:
* energy of formation: -0.38 eV per atom

a b c (Å): 8.827 4.639 14.516
angles (deg): 90.00 92.50 90.00
Space group P2_1/m (No. 11)
One atom of each set of equivalent atoms:
Sr1 0.058 0.250 0.165 x2
Sr2 0.146 0.750 0.572 x2
Sr3 0.324 0.750 0.015 x2
Sr4 0.339 0.250 0.778 x2
Sr5 0.366 0.250 0.376 x2
Hg1 0.074 0.750 0.335 x2
Au1 0.433 0.250 0.153 x2

[4]
Computed, not measured: a geometry-optimized NaHo2Zn structure at the PBE level of DFT.

Summary:
* energy of formation: 0.10 eV per atom
* relative energy among the computed polymorphs: 118.9 meV/atom

a b c (Å): 3.4772 3.4772 34.3941
angles (deg): 90.00 90.00 120.00
Space group R-3m (No. 166, hexagonal axes)
One atom of each set of equivalent atoms:
Na1 0.0000 0.0000 0.0000 x3
Ho1 0.0000 0.0000 0.1027 x6
Zn1 0.0000 0.0000 0.5000 x3

[5]
Computed, not measured: a geometry-optimized AcGdSi2 structure at the PBE level of DFT.

Summary:
* raw formation energy: -0.50 eV/atom

a b c (Å): 3.891 3.891 6.621
angles (deg): 90.00 90.00 90.00
Space group P4/mmm (No. 123)
One atom of each set of equivalent atoms:
Ac1 0.000 0.000 0.000 x1
Gd1 0.000 0.000 0.500 x1
Si1 0.500 0.500 0.312 x2

[6]
Computed, not measured: a geometry-optimized La8Te4As3P structure at the PBE level of DFT.

Summary:
* raw formation energy: -1.65 eV/atom

a b c (Å): 8.8409 8.8409 22.3663
angles (deg): 90.00 90.00 120.00
Space group R-3m (No. 166, hexagonal axes)
One atom of each set of equivalent atoms:
La1 0.0000 0.0000 0.2413 x6
La2 0.0047 0.5023 0.2403 x18
Te1 0.0000 0.0000 0.0000 x3
Te2 0.0000 0.5000 0.0000 x9
As1 0.0000 0.5000 0.5000 x9
P1 0.0000 0.0000 0.5000 x3

[7]
Computed, not measured: a geometry-optimized BaAcPb structure at the PBE level of DFT.

Summary:
* energy of formation: -0.42 eV per atom
* relative energy among the computed polymorphs: 27.8 meV/atom

a b c (Å): 5.304 5.177 9.517
angles (deg): 90.00 90.08 90.00
Space group P2_1/m (No. 11)
One atom of each set of equivalent atoms:
Ba1 0.249 0.250 0.139 x2
Ac1 0.250 0.750 0.473 x2
Pb1 0.251 0.250 0.756 x2

[8]
Computed, not measured: a geometry-optimized Ti9C2N4 structure at the PBE level of DFT.

Summary:
* raw formation energy: -1.20 eV/atom

a b c (Å): 5.2329 5.2329 14.5725
angles (deg): 90.00 90.00 120.00
Space group P-3c1 (No. 165)
One atom of each set of equivalent atoms:
Ti1 0.0000 0.3253 0.2500 x6
Ti2 0.0114 0.3498 0.9159 x12
C1 0.0000 0.0000 0.1585 x4
N1 0.3333 0.6667 0.0073 x4
N2 0.3333 0.6667 0.3262 x4

[9]
Computed, not measured: a geometry-optimized MgScAl structure at the PBE level of DFT.

Summary:
* energy of formation: 0.01 eV per atom

a b c (Å): 6.631 6.631 6.631
angles (deg): 90.00 90.00 90.00
Space group F-43m (No. 216)
One atom of each set of equivalent atoms:
Mg1 0.000 0.000 0.000 x4
Sc1 0.000 0.000 0.500 x4
Al1 0.250 0.250 0.750 x4

[10]
Computed, not measured: a geometry-optimized Na3Bi3RuO8 structure at the PBE level of DFT.

Summary:
* raw formation energy: -1.23 eV/atom

a b c (Å): 6.9043 6.9043 16.8761
angles (deg): 90.00 90.00 120.00
Space group R-3m (No. 166, hexagonal axes)
One atom of each set of equivalent atoms:
Na1 0.0000 0.5000 0.0000 x9
Bi1 0.0000 0.5000 0.5000 x9
Ru1 0.0000 0.0000 0.5000 x3
O1 0.0000 0.0000 0.2455 x6
O2 0.0420 0.5210 0.2335 x18

[11]
Computed, not measured: a geometry-optimized Tm2AuN structure at the PBE level of DFT.

Summary:
* raw formation energy: -1.15 eV/atom

a b c (Å): 3.4747 3.4747 21.5359
angles (deg): 90.00 90.00 120.00
Space group R-3m (No. 166, hexagonal axes)
One atom of each set of equivalent atoms:
Tm1 0.0000 0.0000 0.2291 x6
Au1 0.0000 0.0000 0.0000 x3
N1 0.0000 0.0000 0.5000 x3

[12]
Computed, not measured: a geometry-optimized FeCo2Cu structure at the PBE level of DFT.

Summary:
* energy of formation: 0.07 eV per atom

a b c (Å): 2.5105 2.5105 25.0000
angles (deg): 90.00 90.00 120.00
Space group R-3m (No. 166, hexagonal axes)
One atom of each set of equivalent atoms:
Fe1 0.0000 0.0000 0.0000 x3
Co1 0.0000 0.0000 0.2515 x6
Cu1 0.0000 0.0000 0.5000 x3

Question: What is the formula in the fifth record?
Answer: AcGdSi2